Entry from Alexandria via LeMat-Bulk: a relaxed structure of ScC (GGA-PBEsol).

Energy relative to the lowest polymorph listed for this composition in eV/atom: 0.000
Energy of formation in eV per atom: -0.423
Total magnetic moment in μB per cell: 0.0

a b c (Å): 4.375 4.375 3.487
angles (deg): 96.83 96.83 44.33
Positions (direct):
Sc1 0.139 0.139 0.232
Sc2 0.861 0.861 0.768
C1 0.423 0.423 0.359
C2 0.577 0.577 0.641